First-principles (PBE-GGA) data for a relaxed structure of Mo3Se, as listed in the Alexandria database.

The structure belongs to space group Pm-3m (No. 221); the cell edges are 3.998, 3.998 and 3.998 Å and the angles 90.00°, 90.00° and 90.00°. The distinct sites, in fractional coordinates, are Mo at (0.000, 0.000, 0.500) and Se at (0.500, 0.500, 0.500).

The calculation puts the energy above the most stable polymorph in this dataset at 0.439 eV/atom. For the formation energy without anion corrections, the calculation gives 0.60 eV/atom.

First-principles (PBE-GGA) data for a relaxed structure of CaTi2PdO6, as listed in the Alexandria database.

The structure belongs to space group C2/c (No. 15); the cell edges are 11.107, 9.650 and 6.134 Å and the angles 90.00°, 113.77° and 90.00°. The distinct sites, in fractional coordinates, are Ca at (0.000, 0.092, 0.250), Ti at (0.192, 0.411, 0.198), Pd at (0.000, 0.244, 0.750), O at (0.117, 0.240, 0.102), O at (0.129, 0.095, 0.662) and O at (0.143, 0.479, 0.432).

For the formation energy without anion corrections, the calculation gives -2.41 eV/atom.

First-principles (PBE-GGA) data for a relaxed structure of Sr2IrAu, as listed in the Alexandria database.

The structure belongs to space group Imm2 (No. 44); the cell edges are 3.769, 4.939 and 11.246 Å and the angles 90.00°, 90.00° and 90.00°. The distinct sites, in fractional coordinates, are Sr at (0.000, 0.000, 0.000), Sr at (0.000, 0.500, 0.207), Ir at (0.000, 0.000, 0.460) and Au at (0.000, 0.500, 0.778).

As for the formation energy: -0.205 eV/atom.

First-principles (PBE-GGA) data for a relaxed structure of SrMn2Ag, as listed in the Alexandria database.

The structure belongs to space group Pmm2 (No. 25); the cell edges are 3.472, 3.581 and 7.183 Å and the angles 90.00°, 90.00° and 90.00°. The distinct sites, in fractional coordinates, are Sr at (0.000, 0.000, 0.000), Mn at (0.000, 0.000, 0.503), Mn at (0.500, 0.500, 0.687) and Ag at (0.500, 0.500, 0.307).

As for the formation energy: 0.434 eV/atom.

First-principles (PBE-GGA) data for a relaxed structure of HgSb2Te, as listed in the Alexandria database.

The structure belongs to space group P4mm (No. 99); the cell edges are 3.083, 3.083 and 12.841 Å and the angles 90.00°, 90.00° and 90.00°. The distinct sites, in fractional coordinates, are Hg at (0.000, 0.000, 0.000), Sb at (0.000, 0.000, 0.458), Sb at (0.500, 0.500, 0.247) and Te at (0.500, 0.500, 0.734).

The calculation puts the energy above the most stable polymorph in this dataset at 0.187 eV/atom. For the formation energy without anion corrections, the calculation gives 0.22 eV/atom.

First-principles (PBE-GGA) data for a relaxed structure of CsUCu2S6, as listed in the Alexandria database.

The structure belongs to space group C2/c (No. 15); the cell edges are 10.157, 14.831 and 7.965 Å and the angles 90.00°, 117.05° and 90.00°. The distinct sites, in fractional coordinates, are Cs at (0.000, 0.101, 0.250), U at (0.000, 0.339, 0.750), Cu at (0.135, 0.461, 0.104), S at (0.102, 0.307, 0.118), S at (0.173, 0.219, 0.699) and S at (0.206, 0.462, 0.869).

For the formation energy without anion corrections, the calculation gives -0.63 eV/atom.

First-principles (PBE-GGA) data for a relaxed structure of AsIr2, as listed in the Alexandria database.

The structure belongs to space group P6_3/mmc (No. 194); the cell edges are 5.3985, 5.3985 and 8.5433 Å and the angles 90.00°, 90.00° and 120.00°. The distinct sites, in fractional coordinates, are As at (0.3333, 0.6667, 0.0124), Ir at (0.0000, 0.0000, 0.0000) and Ir at (0.1663, 0.3325, 0.2500).

As for the formation energy: 0.557 eV/atom.

First-principles (PBE-GGA) data for a relaxed structure of AlHg3As, as listed in the Alexandria database.

The structure belongs to space group Pm-3m (No. 221); the cell edges are 5.350, 5.350 and 5.350 Å and the angles 90.00°, 90.00° and 90.00°. The distinct sites, in fractional coordinates, are Al at (0.000, 0.000, 0.000), Hg at (0.000, 0.500, 0.500) and As at (0.500, 0.500, 0.500).

The calculation puts the energy above the most stable polymorph in this dataset at 0.000 eV/atom. As for the formation energy: 0.489 eV/atom.

| no. | DOS(E_F) (states/eV/atom) | magnetization (μB per cell) |
| --- | --- | --- |
| 1 | 1.216 | 0.0 |
| 2 | 0.023 | 0.0 |
| 3 | 0.491 | 0.0 |
| 4 | 0.686 | 8.1 |
| 5 | 0.689 | 0.0 |
| 6 | 0.510 | 4.0 |
| 7 | 1.277 | 0.0 |
| 8 | 0.449 | 0.0 |